Here is crystalline TaAl3Rh at its relaxed geometry from the Alexandria database. Energies are from PBE.

Lattice parameters (Å, degrees): 4.5696 4.5696 4.5696 90.00 90.00 90.00
With the nearest neighbours (Å) after each atom.
Space group Pm-3m (No. 221)
Unique sites:
Ta: 0.0000 0.0000 0.0000 x1  12 Al 3.23
Al: 0.0000 0.5000 0.5000 x3  2 Rh 2.28
Rh: 0.5000 0.5000 0.5000 x1  6 Al 2.28

Computed properties:
M_tot in μB per formula unit: 1.61
Offset from the most stable computed form in eV/atom: 0.000
ΔH_f (0 K) in eV per atom: 0.38